1.
This record from the Alexandria database describes a geometry-optimized KNiAs2 structure. The functional is PBE-GGA.

Structure (CIF):
```
data_KNiAs2
_chemical_formula_sum 'K4 Ni4 As8'
_symmetry_space_group_name_H-M 'F -4 3 m'
_symmetry_Int_Tables_number 216
_symmetry_space_group_name_Hall 'F -4 2 3'
_cell_length_a 6.849
_cell_length_b 6.849
_cell_length_c 6.849
_cell_angle_alpha 90.00
_cell_angle_beta 90.00
_cell_angle_gamma 90.00
loop_
_atom_site_label
_atom_site_fract_x
_atom_site_fract_y
_atom_site_fract_z
K1 0.000 0.000 0.000
Ni1 0.250 0.250 0.750
As1 0.000 0.000 0.500
As2 0.250 0.250 0.250
```

Output
Calculated total energy in eV/atom: -3.51
E_form in meV/atom: 530
Fermi-level density of states in states/eV/cell: 7.2
Distance to the lowest polymorph of the same formula in meV per atom: 845


2.
This record from the Alexandria database describes a geometry-optimized NaTiS3 structure. The functional is PBE-GGA.

Structure (CIF):
```
data_NaTiS3
_chemical_formula_sum 'Na1 Ti1 S3'
_symmetry_space_group_name_H-M 'P m -3 m'
_symmetry_Int_Tables_number 221
_symmetry_space_group_name_Hall '-P 4 2 3'
_cell_length_a 4.732
_cell_length_b 4.732
_cell_length_c 4.732
_cell_angle_alpha 90.00
_cell_angle_beta 90.00
_cell_angle_gamma 90.00
loop_
_atom_site_label
_atom_site_fract_x
_atom_site_fract_y
_atom_site_fract_z
Na1 0.000 0.000 0.000
Ti1 0.500 0.500 0.500
S1 0.000 0.000 0.500
```

Output
Calculated total energy in eV/atom: -3.58
ΔE_f (raw) in meV per atom: 744
Fermi-level density of states in states/eV/cell: 8.8
Distance to the lowest polymorph of the same formula in meV per atom: 1744


3.
This record from the Alexandria database describes a geometry-optimized La3HfAg structure. The functional is PBE-GGA.

Structure (CIF):
```
data_La3HfAg
_chemical_formula_sum 'La3 Hf1 Ag1'
_symmetry_space_group_name_H-M 'P m -3 m'
_symmetry_Int_Tables_number 221
_symmetry_space_group_name_Hall '-P 4 2 3'
_cell_length_a 5.719
_cell_length_b 5.719
_cell_length_c 5.719
_cell_angle_alpha 90.00
_cell_angle_beta 90.00
_cell_angle_gamma 90.00
loop_
_atom_site_label
_atom_site_fract_x
_atom_site_fract_y
_atom_site_fract_z
La1 0.000 0.000 0.500
Hf1 0.500 0.500 0.500
Ag1 0.000 0.000 0.000
```

Output
Calculated total energy in eV/atom: -4.83
E_form in meV/atom: 690
Fermi-level density of states in states/eV/cell: 10.0
Distance to the lowest polymorph of the same formula in meV per atom: 108


4.
This record from the Alexandria database describes a geometry-optimized Ce2TmTh3S6 structure. The functional is PBE-GGA.

Structure (CIF):
```
data_Ce2TmTh3S6
_chemical_formula_sum 'Ce4 Tm2 Th6 S12'
_symmetry_space_group_name_H-M 'C 1 2/m 1'
_symmetry_Int_Tables_number 12
_cell_length_a 17.485
_cell_length_b 3.983
_cell_length_c 8.035
_cell_angle_alpha 90.00
_cell_angle_beta 104.03
_cell_angle_gamma 90.00
loop_
_symmetry_equiv_pos_as_xyz
'x,y,z'
'-x,-y,-z'
'-x,y,-z'
'x,-y,z'
'x+1/2,y+1/2,z'
'-x+1/2,-y+1/2,-z'
'-x+1/2,y+1/2,-z'
'x+1/2,-y+1/2,z'
loop_
_atom_site_label
_atom_site_fract_x
_atom_site_fract_y
_atom_site_fract_z
Ce1 0.167 0.000 0.334
Tm1 0.000 0.500 0.000
Th1 0.000 0.500 0.500
Th2 0.168 0.000 0.833
S1 0.000 0.000 0.236
S2 0.161 0.500 0.083
S3 0.168 0.500 0.581
```

Output
Calculated total energy in eV/atom: -7.21
ΔE_f (raw) in meV per atom: -1926
Fermi-level density of states in states/eV/cell: 21.8


5.
This record from the Alexandria database describes a geometry-optimized PrCd4Ag2 structure. The functional is PBE-GGA.

Structure (CIF):
```
data_PrCd4Ag2
_chemical_formula_sum 'Pr2 Cd8 Ag4'
_symmetry_space_group_name_H-M 'P 42/m n m'
_symmetry_Int_Tables_number 136
_symmetry_space_group_name_Hall '-P 4n 2n'
_cell_length_a 8.578
_cell_length_b 8.578
_cell_length_c 4.422
_cell_angle_alpha 90.00
_cell_angle_beta 90.00
_cell_angle_gamma 90.00
loop_
_atom_site_label
_atom_site_fract_x
_atom_site_fract_y
_atom_site_fract_z
Pr1 0.000 0.000 0.000
Cd1 0.092 0.341 0.500
Ag1 0.201 0.799 0.500
```

Output
Calculated total energy in eV/atom: -2.19
E_form in meV/atom: -165
Fermi-level density of states in states/eV/cell: 8.2
Distance to the lowest polymorph of the same formula in meV per atom: 27


6.
This record from the Alexandria database describes a geometry-optimized KBaFe4Se6 structure. The functional is PBE-GGA.

Structure (CIF):
```
data_KBaFe4Se6
_chemical_formula_sum 'K2 Ba2 Fe8 Se12'
_symmetry_space_group_name_H-M 'P m c 21'
_symmetry_Int_Tables_number 26
_cell_length_a 5.411
_cell_length_b 9.207
_cell_length_c 12.143
_cell_angle_alpha 90.00
_cell_angle_beta 90.00
_cell_angle_gamma 90.00
loop_
_symmetry_equiv_pos_as_xyz
'x,y,z'
'-x,-y,z+1/2'
'-x,y,z'
'x,-y,z+1/2'
loop_
_atom_site_label
_atom_site_fract_x
_atom_site_fract_y
_atom_site_fract_z
K1 0.000 0.236 0.000
Ba1 0.500 0.279 0.652
Fe1 0.250 0.382 0.318
Fe2 0.252 0.104 0.336
Se1 0.000 0.068 0.739
Se2 0.000 0.255 0.456
Se3 0.000 0.491 0.687
Se4 0.500 0.006 0.973
Se5 0.500 0.228 0.198
Se6 0.500 0.457 0.923
```

Output
Calculated total energy in eV/atom: -5.47
ΔE_f (raw) in meV per atom: -651
Fermi-level density of states in states/eV/cell: 11.6


7.
This record from the Alexandria database describes a geometry-optimized KLiCr2 structure. The functional is PBE-GGA.

Structure (CIF):
```
data_KLiCr2
_chemical_formula_sum 'K2 Li2 Cr4'
_symmetry_space_group_name_H-M 'C 1 2/m 1'
_symmetry_Int_Tables_number 12
_cell_length_a 12.461
_cell_length_b 3.208
_cell_length_c 5.499
_cell_angle_alpha 90.00
_cell_angle_beta 115.38
_cell_angle_gamma 90.00
loop_
_symmetry_equiv_pos_as_xyz
'x,y,z'
'-x,-y,-z'
'-x,y,-z'
'x,-y,z'
'x+1/2,y+1/2,z'
'-x+1/2,-y+1/2,-z'
'-x+1/2,y+1/2,-z'
'x+1/2,-y+1/2,z'
loop_
_atom_site_label
_atom_site_fract_x
_atom_site_fract_y
_atom_site_fract_z
K1 0.000 0.000 0.000
Li1 0.000 0.500 0.500
Cr1 0.222 0.000 0.721
```

Output
Calculated total energy in eV/atom: -4.48
E_form in meV/atom: 1084
Fermi-level density of states in states/eV/cell: 5.6
Distance to the lowest polymorph of the same formula in meV per atom: 469


8.
This record from the Alexandria database describes a geometry-optimized AlCrTe2 structure. The functional is PBE-GGA.

Structure (CIF):
```
data_AlCrTe2
_chemical_formula_sum 'Al1 Cr1 Te2'
_symmetry_space_group_name_H-M 'P 4/m m m'
_symmetry_Int_Tables_number 123
_symmetry_space_group_name_Hall '-P 4 2'
_cell_length_a 4.093
_cell_length_b 4.093
_cell_length_c 5.782
_cell_angle_alpha 90.00
_cell_angle_beta 90.00
_cell_angle_gamma 90.00
loop_
_atom_site_label
_atom_site_fract_x
_atom_site_fract_y
_atom_site_fract_z
Al1 0.000 0.000 0.000
Cr1 0.500 0.500 0.500
Te1 0.000 0.000 0.500
Te2 0.500 0.500 0.000
```

Output
Calculated total energy in eV/atom: -5.02
ΔE_f (raw) in meV per atom: -107
Fermi-level density of states in states/eV/cell: 2.1


9.
This record from the Alexandria database describes a geometry-optimized CeNd3Sm3 structure. The functional is PBE-GGA.

Structure (CIF):
```
data_CeNd3Sm3
_chemical_formula_sum 'Ce4 Nd12 Sm12'
_symmetry_space_group_name_H-M 'C 1 2/m 1'
_symmetry_Int_Tables_number 12
_cell_length_a 11.751
_cell_length_b 11.566
_cell_length_c 7.251
_cell_angle_alpha 90.00
_cell_angle_beta 90.01
_cell_angle_gamma 90.00
loop_
_symmetry_equiv_pos_as_xyz
'x,y,z'
'-x,-y,-z'
'-x,y,-z'
'x,-y,z'
'x+1/2,y+1/2,z'
'-x+1/2,-y+1/2,-z'
'-x+1/2,y+1/2,-z'
'x+1/2,-y+1/2,z'
loop_
_atom_site_label
_atom_site_fract_x
_atom_site_fract_y
_atom_site_fract_z
Ce1 0.212 0.000 0.001
Nd1 0.000 0.500 0.248
Nd2 0.250 0.249 0.756
Sm1 0.000 0.207 0.500
Sm2 0.000 0.211 0.000
Sm3 0.222 0.000 0.499
```

Output
Calculated total energy in eV/atom: -4.71
E_form in meV/atom: 200
Fermi-level density of states in states/eV/cell: 62.1


In the order shown, the computed magnetization values come out to 0.000, 1.480, 0.000, 0.420, 0.000, 12.583, 9.444, 4.076, 1.219 μB per formula unit.